Tm6In5Ga: relaxed, PBE.

Summary:
**M_tot**: 0.00 μB per formula unit
**Formation enthalpy at 0 K**: -507 kJ/mol of formula units
**Final energy**: -4.067 eV per atom

Cell lengths 8.2560, 8.2560, 7.3587 Å; angles 90.00, 90.00, 143.12 degrees
Closest atoms and distances in Å follow each position.
Fractional positions:
1 Tm 0.0000 0.0000 0.2411  2 Ga 3.16, 6 In 3.20-3.25
2 Tm 0.0000 0.0000 0.7589  2 Ga 3.16, 6 In 3.20-3.25
3 Tm 0.3379 0.6621 0.2465  1 Ga 3.12, 7 In 3.15-3.24
4 Tm 0.3379 0.6621 0.7535  1 Ga 3.12, 7 In 3.15-3.24
5 Tm 0.6621 0.3379 0.2465  1 Ga 3.12, 7 In 3.15-3.24
6 Tm 0.6621 0.3379 0.7535  1 Ga 3.12, 7 In 3.15-3.24
7 In 0.1684 0.8316 0.5000  8 Tm 3.21-3.25
8 In 0.1698 0.8302 0.0000  8 Tm 3.18-3.20
9 In 0.5000 0.5000 0.5000  8 Tm 3.15-3.23
10 In 0.8302 0.1698 0.0000  8 Tm 3.18-3.20
11 In 0.8316 0.1684 0.5000  8 Tm 3.21-3.25
12 Ga 0.5000 0.5000 0.0000  8 Tm 3.12-3.16